The following is a DFT calculation (PBE with a Hubbard U) of a relaxed LiPm2CoO6 crystal.

Results
total energy: -6.875 eV/atom
total moment: 4.143 Bohr magnetons per cell

Unit cell a=5.3244 b=5.5776 c=9.2418 alpha=90.00 beta=124.74 gamma=90.00
Fractional positions:
1 Li 0.0000 0.0000 0.0000
2 Li 0.0000 0.5000 0.5000
3 Pm 0.2329 0.0648 0.7476
4 Pm 0.2329 0.4352 0.2476
5 Pm 0.7671 0.5648 0.7524
6 Pm 0.7671 0.9352 0.2524
7 Co 0.5000 0.0000 0.5000
8 Co 0.5000 0.5000 0.0000
9 O 0.1734 0.1906 0.4586
10 O 0.1734 0.3094 0.9586
11 O 0.2727 0.7229 0.4574
12 O 0.2727 0.7771 0.9574
13 O 0.3390 0.0189 0.2597
14 O 0.3390 0.4811 0.7597
15 O 0.6610 0.5189 0.2403
16 O 0.6610 0.9811 0.7403
17 O 0.7273 0.2229 0.0426
18 O 0.7273 0.2771 0.5426
19 O 0.8266 0.6906 0.0414
20 O 0.8266 0.8094 0.5414